Entry 1:
Material: YHf3Zn
Method: DFT, SCAN
State: single point on PBEsol structure

extended XYZ file:
```
5
Lattice="4.974 0.000 0.000 0.000 4.974 0.000 0.000 0.000 4.974" Properties=species:S:1:pos:R:3 pbc="T T T"
Y 0.000 0.000 0.000
Hf 0.000 2.487 2.487
Hf 2.487 0.000 2.487
Hf 2.487 2.487 0.000
Zn 2.487 2.487 2.487
```

Computed properties:
Calculated volume, Å³ per atom: 24.61
Total DFT energy (no corrections), eV for the cell shown: -226.711

=====

Entry 2:
Material: YHf2Zn2
Method: DFT, SCAN
State: single point on PBEsol structure

extended XYZ file:
```
10
Lattice="4.184 0.000 0.000 0.000 4.184 0.000 0.000 0.000 11.932" Properties=species:S:1:pos:R:3 pbc="T T T"
Y 0.000 0.000 0.000
Y 2.092 2.092 5.966
Hf 0.000 2.092 2.983
Hf 0.000 2.092 8.949
Hf 2.092 0.000 2.983
Hf 2.092 0.000 8.949
Zn 0.000 0.000 4.786
Zn 0.000 0.000 7.146
Zn 2.092 2.092 1.180
Zn 2.092 2.092 10.752
```

Computed properties:
Calculated volume, Å³ per atom: 20.89
Total DFT energy (no corrections), eV for the cell shown: -362.043

=====

Entry 3:
Material: HfZn16
Method: DFT, SCAN
State: single point on PBEsol structure

extended XYZ file:
```
34
Lattice="3.812 -5.635 0.000 3.812 5.635 0.000 0.000 0.000 11.532" Properties=species:S:1:pos:R:3 pbc="T T T"
Hf 3.812 5.117 8.649
Hf 3.812 -5.117 2.883
Zn 0.000 0.000 0.000
Zn 0.000 0.000 5.766
Zn 2.526 3.526 6.569
Zn 2.526 3.526 10.729
Zn 3.812 3.619 1.606
Zn 3.812 3.619 4.160
Zn 2.571 1.606 2.883
Zn 2.262 0.615 7.305
Zn 2.262 0.615 9.993
Zn 3.812 2.331 8.649
Zn 2.262 -0.615 1.539
Zn 2.262 -0.615 4.227
Zn 5.098 3.526 6.569
Zn 5.098 3.526 10.729
Zn 3.812 1.343 0.366
Zn 3.812 1.343 5.400
Zn 2.571 -1.606 8.649
Zn 5.054 1.606 2.883
Zn 3.812 -1.343 6.132
Zn 3.812 -1.343 11.166
Zn 2.526 -3.526 0.803
Zn 2.526 -3.526 4.963
Zn 5.363 0.615 7.305
Zn 5.363 0.615 9.993
Zn 3.812 -2.331 2.883
Zn 5.363 -0.615 1.539
Zn 5.363 -0.615 4.227
Zn 5.054 -1.606 8.649
Zn 3.812 -3.619 7.372
Zn 3.812 -3.619 9.926
Zn 5.098 -3.526 0.803
Zn 5.098 -3.526 4.963
```

Computed properties:
Calculated volume, Å³ per atom: 14.57
Total DFT energy (no corrections), eV for the cell shown: -560.652

=====

Entry 4:
Material: HfZn2
Method: DFT, SCAN
State: single point on PBEsol structure

extended XYZ file:
```
6
Lattice="0.000 3.614 3.614 3.614 0.000 3.614 3.614 3.614 0.000" Properties=species:S:1:pos:R:3 pbc="T T T"
Hf 0.904 0.904 0.904
Hf 6.325 6.325 6.325
Zn 3.614 1.807 1.807
Zn 1.807 3.614 1.807
Zn 1.807 1.807 3.614
Zn 3.614 3.614 3.614
```

Computed properties:
Calculated volume, Å³ per atom: 15.74
Total DFT energy (no corrections), eV for the cell shown: -181.242

=====

Entry 5:
Material: HfZn2
Method: DFT, SCAN
State: single point on PBEsol structure

extended XYZ file:
```
12
Lattice="5.148 0.000 0.000 -2.574 4.458 0.000 0.000 0.000 8.221" Properties=species:S:1:pos:R:3 pbc="T T T"
Hf 0.000 2.972 0.540
Hf 0.000 2.972 3.571
Hf 2.574 1.486 4.650
Hf 2.574 1.486 7.682
Zn 0.000 0.000 0.000
Zn 0.000 0.000 4.111
Zn 0.000 1.535 6.166
Zn -1.245 3.691 6.166
Zn 1.329 0.768 2.055
Zn 1.245 3.691 6.166
Zn 3.818 0.768 2.055
Zn 2.574 2.923 2.055
```

Computed properties:
Calculated volume, Å³ per atom: 15.72
Total DFT energy (no corrections), eV for the cell shown: -362.447

=====

Entry 6:
Material: HfZrZn3
Method: DFT, SCAN
State: single point on PBEsol structure

extended XYZ file:
```
5
Lattice="4.801 0.000 0.000 0.000 4.801 0.000 0.000 0.000 4.801" Properties=species:S:1:pos:R:3 pbc="T T T"
Hf 0.000 0.000 0.000
Zr 2.401 2.401 2.401
Zn 0.000 2.401 2.401
Zn 2.401 0.000 2.401
Zn 2.401 2.401 0.000
```

Computed properties:
Calculated volume, Å³ per atom: 22.14
Total DFT energy (no corrections), eV for the cell shown: -128.338

=====

Entry 7:
Material: Hg
Method: DFT, SCAN
State: single point on PBEsol structure

extended XYZ file:
```
8
Lattice="5.770 0.000 0.000 0.000 5.770 0.000 0.000 0.000 5.770" Properties=species:S:1:pos:R:3 pbc="T T T"
Hg 0.000 0.000 0.000
Hg 0.000 1.442 2.885
Hg 0.000 4.327 2.885
Hg 1.442 2.885 0.000
Hg 2.885 0.000 1.442
Hg 2.885 0.000 4.327
Hg 2.885 2.885 2.885
Hg 4.327 2.885 0.000
```

Computed properties:
Calculated volume, Å³ per atom: 24.01
Energy above the most stable polymorph in this dataset, eV/atom: 0.041

=====

Entry 8:
Material: Hg
Method: DFT, SCAN
State: single point on PBEsol structure

extended XYZ file:
```
20
Lattice="7.892 0.000 0.000 0.000 7.892 0.000 0.000 0.000 7.892" Properties=species:S:1:pos:R:3 pbc="T T T"
Hg 0.389 0.389 0.389
Hg 0.431 6.906 5.488
Hg 0.987 1.542 3.515
Hg 1.542 3.515 0.987
Hg 1.584 6.308 2.362
Hg 2.362 1.584 6.308
Hg 2.404 4.377 4.933
Hg 2.960 6.351 7.461
Hg 3.515 0.987 1.542
Hg 3.557 7.503 4.335
Hg 4.335 3.557 7.503
Hg 4.377 4.933 2.404
Hg 4.933 2.404 4.377
Hg 5.488 0.431 6.906
Hg 5.530 5.530 5.530
Hg 6.308 2.362 1.584
Hg 6.351 7.461 2.960
Hg 6.906 5.488 0.431
Hg 7.461 2.960 6.351
Hg 7.503 4.335 3.557
```

Computed properties:
Calculated volume, Å³ per atom: 24.58
Energy above the most stable polymorph in this dataset, eV/atom: 0.027

=====

Entry 9:
Material: Hg
Method: DFT, SCAN
State: single point on PBEsol structure

extended XYZ file:
```
4
Lattice="5.719 0.000 0.000 0.000 5.719 0.000 0.000 0.000 3.030" Properties=species:S:1:pos:R:3 pbc="T T T"
Hg 0.000 1.430 1.136
Hg 0.000 4.289 1.894
Hg 2.859 1.430 0.379
Hg 2.859 4.289 2.651
```

Computed properties:
Calculated volume, Å³ per atom: 24.77
Energy above the most stable polymorph in this dataset, eV/atom: 0.002

=====

Entry 10:
Material: Hg
Method: DFT, SCAN
State: single point on PBEsol structure

extended XYZ file:
```
29
Lattice="-5.581 5.581 5.581 5.581 -5.581 5.581 5.581 5.581 -5.581" Properties=species:S:1:pos:R:3 pbc="T T T"
Hg 0.000 0.000 0.000
Hg 3.778 3.778 -3.778
Hg 3.253 1.080 -1.080
Hg 3.253 -1.080 1.080
Hg 6.248 1.543 -1.543
Hg 3.778 -3.778 3.778
Hg 6.248 -1.543 1.543
Hg 7.909 1.080 1.080
Hg 1.080 3.253 -1.080
Hg 1.080 -1.080 3.253
Hg 4.914 1.543 1.543
Hg 4.038 4.038 -0.667
Hg 4.038 -0.667 4.038
Hg 1.803 1.803 1.803
Hg -1.080 3.253 1.080
Hg -1.080 1.080 3.253
Hg 1.543 6.248 -1.543
Hg 1.543 -1.543 6.248
Hg 1.543 4.914 1.543
Hg 1.543 1.543 4.914
Hg 4.501 4.501 2.328
Hg 4.501 2.328 4.501
Hg -3.778 3.778 3.778
Hg -1.543 6.248 1.543
Hg -1.543 1.543 6.248
Hg -0.667 4.038 4.038
Hg 1.080 7.909 1.080
Hg 1.080 1.080 7.909
Hg 2.328 4.501 4.501
```

Computed properties:
Calculated volume, Å³ per atom: 23.98
Energy above the most stable polymorph in this dataset, eV/atom: 0.027

=====

- calculated volume of number 5 (HfZn2)?
  15.72 Å³ per atom

=====

- Which value of calculated volume does entry 9 give?
  24.77 Å³ per atom

=====

Repeat the third record exactly.
Material: HfZn16
Method: DFT, SCAN
State: single point on PBEsol structure

extended XYZ file:
```
34
Lattice="3.812 -5.635 0.000 3.812 5.635 0.000 0.000 0.000 11.532" Properties=species:S:1:pos:R:3 pbc="T T T"
Hf 3.812 5.117 8.649
Hf 3.812 -5.117 2.883
Zn 0.000 0.000 0.000
Zn 0.000 0.000 5.766
Zn 2.526 3.526 6.569
Zn 2.526 3.526 10.729
Zn 3.812 3.619 1.606
Zn 3.812 3.619 4.160
Zn 2.571 1.606 2.883
Zn 2.262 0.615 7.305
Zn 2.262 0.615 9.993
Zn 3.812 2.331 8.649
Zn 2.262 -0.615 1.539
Zn 2.262 -0.615 4.227
Zn 5.098 3.526 6.569
Zn 5.098 3.526 10.729
Zn 3.812 1.343 0.366
Zn 3.812 1.343 5.400
Zn 2.571 -1.606 8.649
Zn 5.054 1.606 2.883
Zn 3.812 -1.343 6.132
Zn 3.812 -1.343 11.166
Zn 2.526 -3.526 0.803
Zn 2.526 -3.526 4.963
Zn 5.363 0.615 7.305
Zn 5.363 0.615 9.993
Zn 3.812 -2.331 2.883
Zn 5.363 -0.615 1.539
Zn 5.363 -0.615 4.227
Zn 5.054 -1.606 8.649
Zn 3.812 -3.619 7.372
Zn 3.812 -3.619 9.926
Zn 5.098 -3.526 0.803
Zn 5.098 -3.526 4.963
```

Computed properties:
Calculated volume, Å³ per atom: 14.57
Total DFT energy (no corrections), eV for the cell shown: -560.652

=====

Please write out number 10 again, unchanged.
Material: Hg
Method: DFT, SCAN
State: single point on PBEsol structure

extended XYZ file:
```
29
Lattice="-5.581 5.581 5.581 5.581 -5.581 5.581 5.581 5.581 -5.581" Properties=species:S:1:pos:R:3 pbc="T T T"
Hg 0.000 0.000 0.000
Hg 3.778 3.778 -3.778
Hg 3.253 1.080 -1.080
Hg 3.253 -1.080 1.080
Hg 6.248 1.543 -1.543
Hg 3.778 -3.778 3.778
Hg 6.248 -1.543 1.543
Hg 7.909 1.080 1.080
Hg 1.080 3.253 -1.080
Hg 1.080 -1.080 3.253
Hg 4.914 1.543 1.543
Hg 4.038 4.038 -0.667
Hg 4.038 -0.667 4.038
Hg 1.803 1.803 1.803
Hg -1.080 3.253 1.080
Hg -1.080 1.080 3.253
Hg 1.543 6.248 -1.543
Hg 1.543 -1.543 6.248
Hg 1.543 4.914 1.543
Hg 1.543 1.543 4.914
Hg 4.501 4.501 2.328
Hg 4.501 2.328 4.501
Hg -3.778 3.778 3.778
Hg -1.543 6.248 1.543
Hg -1.543 1.543 6.248
Hg -0.667 4.038 4.038
Hg 1.080 7.909 1.080
Hg 1.080 1.080 7.909
Hg 2.328 4.501 4.501
```

Computed properties:
Calculated volume, Å³ per atom: 23.98
Energy above the most stable polymorph in this dataset, eV/atom: 0.027